Computed, not measured: a relaxed Ca2EuZn9Ni6 crystal at the PBE level of DFT.

Calculated values
Magnetization   6.82 μB/f.u.
ΔH_f (0 K)   -0.307 eV/atom

Lattice parameters (Å, degrees): 9.0379 9.0379 4.1017 90.00 90.00 120.00
Space group P6/mmm (No. 191)
Unique sites:
Ca (0.3333, 0.6667, 0.0000)
Eu (0.0000, 0.0000, 0.5000)
Zn (0.0000, 0.2947, 0.0000)
Zn (0.0000, 0.5000, 0.5000)
Ni (0.1833, 0.3667, 0.5000)